Computed, not measured: crystalline TiSe3Cl at its relaxed geometry at the PBE-GGA level of DFT.

Unit cell a=4.879 b=4.879 c=4.879 alpha=90.00 beta=90.00 gamma=90.00
Space group Pm-3m (No. 221)
Symmetry-distinct sites (fractional):
Ti (0.000, 0.000, 0.000) x1
Se (0.000, 0.500, 0.500) x3
Cl (0.500, 0.500, 0.500) x1

Calculated values
Its total magnetization is 0.0 μB per cell. For the calculated volume, the calculation gives 116.17 Å³/cell. The uncorrected formation energy is 76.1 kJ per mole of atoms.

Computed, not measured: crystalline PmHoCo3 at its relaxed geometry at the PBE-GGA level of DFT.

Unit cell a=4.149 b=23.226 c=3.906 alpha=90.00 beta=90.00 gamma=90.00
Space group Cmcm (No. 63)
Symmetry-distinct sites (fractional):
Pm (0.000, 0.071, 0.250) x4
Ho (0.000, 0.206, 0.750) x4
Co (0.000, 0.330, 0.750) x4
Co (0.000, 0.377, 0.250) x4
Co (0.000, 0.476, 0.250) x4

Calculated values
As for the formation energy: -0.157 eV per atom. Its total magnetization is 7.5 μB per cell. For the calculated volume, the calculation gives 376.35 Å³/cell.

Computed, not measured: crystalline CeInCuIr at its relaxed geometry at the PBE-GGA level of DFT.

Unit cell a=6.782 b=6.782 c=6.782 alpha=90.00 beta=90.00 gamma=90.00
Space group F-43m (No. 216)
Symmetry-distinct sites (fractional):
Ce (0.000, 0.000, 0.000) x4
In (0.000, 0.000, 0.500) x4
Cu (0.250, 0.250, 0.250) x4
Ir (0.250, 0.250, 0.750) x4

Calculated values
As for the formation energy: -0.330 eV per atom. Its total magnetization is 0.0 μB per cell. For the calculated volume, the calculation gives 311.97 Å³/cell.

Computed, not measured: crystalline Zn5Tc3 at its relaxed geometry at the PBE-GGA level of DFT.

Unit cell a=8.228 b=8.516 c=3.267 alpha=90.00 beta=90.00 gamma=90.00
Space group Cmmm (No. 65)
Symmetry-distinct sites (fractional):
Zn (0.000, 0.000, 0.000) x2
Zn (0.000, 0.246, 0.500) x4
Zn (0.250, 0.250, 0.000) x4
Tc (0.000, 0.500, 0.000) x2
Tc (0.248, 0.500, 0.500) x4

Calculated values
As for the formation energy: 0.080 eV per atom. Its total magnetization is 0.0 μB per cell. For the calculated volume, the calculation gives 228.88 Å³/cell.

Computed, not measured: crystalline MgW2Br at its relaxed geometry at the PBE-GGA level of DFT.

Unit cell a=4.827 b=4.827 c=2.930 alpha=90.00 beta=90.00 gamma=90.00
Space group P4/mmm (No. 123)
Symmetry-distinct sites (fractional):
Mg (0.000, 0.000, 0.000) x1
W (0.000, 0.500, 0.500) x2
Br (0.500, 0.500, 0.000) x1

Calculated values
Its total magnetization is 0.0 μB per cell. For the calculated volume, the calculation gives 68.28 Å³/cell. The uncorrected formation energy is 133.5 kJ per mole of atoms.

Computed, not measured: crystalline CaPu2Ag9 at its relaxed geometry at the PBE-GGA level of DFT.

Unit cell a=5.6310 b=5.6310 c=28.4449 alpha=90.00 beta=90.00 gamma=120.00
Space group R-3m (No. 166, hexagonal axes)
Symmetry-distinct sites (fractional):
Ca (0.0000, 0.0000, 0.0000) x3
Pu (0.0000, 0.0000, 0.1484) x6
Ag (0.0000, 0.0000, 0.3327) x6
Ag (0.0000, 0.0000, 0.5000) x3
Ag (0.0008, 0.5004, 0.9166) x18

Calculated values
As for the formation energy: -0.057 eV per atom. Its total magnetization is 37.1 μB per cell. For the calculated volume, the calculation gives 781.09 Å³/cell.

Which value of calculated volume does entry 6 give?
781.09 Å³/cell

Please write out number 2 again, unchanged.
Computed, not measured: crystalline PmHoCo3 at its relaxed geometry at the PBE-GGA level of DFT.

Unit cell a=4.149 b=23.226 c=3.906 alpha=90.00 beta=90.00 gamma=90.00
Space group Cmcm (No. 63)
Symmetry-distinct sites (fractional):
Pm (0.000, 0.071, 0.250) x4
Ho (0.000, 0.206, 0.750) x4
Co (0.000, 0.330, 0.750) x4
Co (0.000, 0.377, 0.250) x4
Co (0.000, 0.476, 0.250) x4

Calculated values
As for the formation energy: -0.157 eV per atom. Its total magnetization is 7.5 μB per cell. For the calculated volume, the calculation gives 376.35 Å³/cell.